Run a
Here is a PBEsol-optimized structure of Tl2SbAu from Alexandria via LeMat-Bulk. Energies are from SCAN.

Values from the calculation:
Density of states at the Fermi level, states/eV/f.u.: 1.83
Size of the total moment, μB/cell: 0.0

abc: 3.455 3.455 8.402
angles: 90.00 90.00 90.00
Space group P4mm (No. 99)
Inequivalent atoms, fractional coordinates:
Tl: 0.000 0.000 0.000 x1
Tl: 0.500 0.500 0.299 x1
Sb: 0.500 0.500 0.715 x1
Au: 0.000 0.000 0.524 x1

***

Run b
Here is a PBEsol-optimized structure of Tl2SbAu from Alexandria via LeMat-Bulk. Energies are from SCAN.

Values from the calculation:
Density of states at the Fermi level, states/eV/f.u.: 1.66
Size of the total moment, μB/cell: 0.0

abc: 3.266 4.315 7.440
angles: 90.00 102.49 90.00
Space group Pm (No. 6)
Inequivalent atoms, fractional coordinates:
Tl: 0.000 0.000 0.000 x1
Tl: 0.349 0.500 0.706 x1
Sb: 0.708 0.000 0.426 x1
Au: 0.596 0.500 0.194 x1

***

Run c
Here is a PBEsol-optimized structure of Tl2SbAu from Alexandria via LeMat-Bulk. Energies are from SCAN.

Values from the calculation:
Density of states at the Fermi level, states/eV/f.u.: 1.41
Size of the total moment, μB/cell: 0.0

abc: 3.748 4.240 13.421
angles: 90.00 90.00 90.00
Space group Immm (No. 71)
Inequivalent atoms, fractional coordinates:
Tl: 0.000 0.000 0.186 x4
Sb: 0.000 0.500 0.000 x2
Au: 0.000 0.500 0.500 x2

***

Run d
Here is a PBEsol-optimized structure of Tl2SbAu from Alexandria via LeMat-Bulk. Energies are from SCAN.

Values from the calculation:
Density of states at the Fermi level, states/eV/f.u.: 1.02
Size of the total moment, μB/cell: 0.0

abc: 4.5223 4.5223 18.8683
angles: 90.00 90.00 120.00
Space group R3m (No. 160, hexagonal axes)
Inequivalent atoms, fractional coordinates:
Tl: 0.0000 0.0000 0.0000 x3
Tl: 0.0000 0.0000 0.2229 x3
Sb: 0.0000 0.0000 0.7696 x3
Au: 0.0000 0.0000 0.4731 x3

***

Which structure wins on stability? run d wins.

***

Run a
Here is a PBEsol-optimized structure of Tl2SbAu from Alexandria via LeMat-Bulk. Energies are from SCAN.

Values from the calculation:
Density of states at the Fermi level, states/eV/f.u.: 1.67
Size of the total moment, μB/cell: 0.0

abc: 3.517 5.218 11.091
angles: 90.00 90.00 90.00
Space group Imm2 (No. 44)
Inequivalent atoms, fractional coordinates:
Tl: 0.000 0.000 0.000 x2
Tl: 0.000 0.500 0.201 x2
Sb: 0.000 0.500 0.785 x2
Au: 0.000 0.000 0.480 x2

***

Run b
Here is a PBEsol-optimized structure of Tl2SbAu from Alexandria via LeMat-Bulk. Energies are from SCAN.

Values from the calculation:
Density of states at the Fermi level, states/eV/f.u.: 1.96
Size of the total moment, μB/cell: 0.0

abc: 7.354 7.354 7.354
angles: 90.00 90.00 90.00
Space group Fm-3m (No. 225)
Inequivalent atoms, fractional coordinates:
Tl: 0.250 0.250 0.250 x8
Sb: 0.000 0.000 0.000 x4
Au: 0.000 0.000 0.500 x4

***

Which structure wins on stability? run a wins.

***

Run a
Here is a PBEsol-optimized structure of ZrSb3Au from Alexandria via LeMat-Bulk. Energies are from SCAN.

Values from the calculation:
Density of states at the Fermi level, states/eV/f.u.: 2.27
Size of the total moment, μB/cell: 0.0

abc: 5.398 5.398 5.398
angles: 90.00 90.00 90.00
Space group Pm-3m (No. 221)
Inequivalent atoms, fractional coordinates:
Zr: 0.000 0.000 0.000 x1
Sb: 0.000 0.000 0.500 x3
Au: 0.500 0.500 0.500 x1

***

Run b
Here is a PBEsol-optimized structure of ZrSb3Au from Alexandria via LeMat-Bulk. Energies are from SCAN.

Values from the calculation:
Density of states at the Fermi level, states/eV/f.u.: 4.40
Size of the total moment, μB/cell: 0.0

abc: 5.221 5.221 5.221
angles: 90.00 90.00 90.00
Space group Pm-3m (No. 221)
Inequivalent atoms, fractional coordinates:
Zr: 0.000 0.000 0.000 x1
Sb: 0.000 0.500 0.500 x3
Au: 0.500 0.500 0.500 x1

***

Which structure wins on stability? run a wins.

***

Run a
Here is a PBEsol-optimized structure of Sc5Au from Alexandria via LeMat-Bulk. Energies are from SCAN.

Values from the calculation:
Density of states at the Fermi level, states/eV/f.u.: 6.60
Size of the total moment, μB/cell: 2.4

abc: 11.031 3.412 7.505
angles: 90.00 111.72 90.00
Space group C2/m (No. 12)
Inequivalent atoms, fractional coordinates:
Sc: 0.000 0.000 0.000 x2
Sc: 0.146 0.500 0.358 x4
Sc: 0.169 0.500 0.806 x4
Au: 0.000 0.000 0.500 x2

***

Run b
Here is a PBEsol-optimized structure of Sc5Au from Alexandria via LeMat-Bulk. Energies are from SCAN.

Values from the calculation:
Density of states at the Fermi level, states/eV/f.u.: 6.23
Size of the total moment, μB/cell: 1.0

abc: 3.345 3.345 11.784
angles: 90.00 90.00 90.00
Space group P4/mmm (No. 123)
Inequivalent atoms, fractional coordinates:
Sc: 0.000 0.000 0.000 x1
Sc: 0.000 0.000 0.361 x2
Sc: 0.500 0.500 0.180 x2
Au: 0.500 0.500 0.500 x1

***

Which structure wins on stability? run a wins.